Density functional theory data (PBE) for a geometry-optimized SrCuNi2 structure.

* relative energy among the computed polymorphs: 476.1 meV/atom
* uncorrected energy: -3.93 eV/atom
* DOS at the Fermi energy: 2.42 states/eV/f.u.
* space group: No. 225
* energy of formation from the pure elements: 39.2 kJ/mol of atoms

Unit cell a=6.432 b=6.432 c=6.432 alpha=90.00 beta=90.00 gamma=90.00
Atoms (fractional coordinates):
Sr1 0.000 0.000 0.000
Sr2 0.000 0.500 0.500
Sr3 0.500 0.000 0.500
Sr4 0.500 0.500 0.000
Cu1 0.000 0.000 0.500
Cu2 0.000 0.500 0.000
Cu3 0.500 0.000 0.000
Cu4 0.500 0.500 0.500
Ni1 0.250 0.250 0.250
Ni2 0.250 0.250 0.750
Ni3 0.250 0.750 0.250
Ni4 0.250 0.750 0.750
Ni5 0.750 0.250 0.250
Ni6 0.750 0.250 0.750
Ni7 0.750 0.750 0.250
Ni8 0.750 0.750 0.750

Density functional theory data (PBE) for a geometry-optimized YPuF6 structure.

* uncorrected energy: -7.85 eV/atom
* DOS at the Fermi energy: 7.99 states/eV/f.u.
* space group: No. 12
* formation energy from raw total energies: -3.84 eV/atom

Unit cell a=11.413 b=4.074 c=7.070 alpha=90.00 beta=128.26 gamma=90.00
Atoms (fractional coordinates):
Y1 0.000 0.000 0.000
Y2 0.500 0.500 0.000
Pu1 0.000 0.500 0.500
Pu2 0.500 0.000 0.500
F1 0.051 0.000 0.725
F2 0.052 0.500 0.212
F3 0.245 0.000 0.245
F4 0.255 0.500 0.755
F5 0.448 0.000 0.788
F6 0.449 0.500 0.275
F7 0.551 0.500 0.725
F8 0.552 0.000 0.212
F9 0.745 0.500 0.245
F10 0.755 0.000 0.755
F11 0.948 0.500 0.788
F12 0.949 0.000 0.275

Density functional theory data (PBE) for a geometry-optimized RbLi2HoBr6 structure.

* uncorrected energy: -3.63 eV/atom
* DOS at the Fermi energy: 0.00 states/eV/f.u.
* space group: No. 1
* formation energy from raw total energies: -1.69 eV/atom

Unit cell a=7.319 b=7.344 c=7.980 alpha=62.74 beta=62.96 gamma=60.25
Atoms (fractional coordinates):
Rb1 0.000 0.000 0.000
Li1 0.216 0.206 0.365
Li2 0.727 0.729 0.813
Ho1 0.524 0.525 0.424
Br1 0.118 0.786 0.628
Br2 0.381 0.521 0.154
Br3 0.466 0.118 0.627
Br4 0.522 0.939 0.153
Br5 0.784 0.468 0.630
Br6 0.939 0.382 0.157